{"formula": "Tb4Pm4Sm3", "functional": "GGA-PBE", "state": "optimized geometry", "vol_a3_per_cell": 373.5, "formation_enthalpy_0k_ev_per_atom": 0.150, "lattice": [[10.711, 0.000, 0.000], [0.000, 2.875, 6.064], [0.000, -2.875, 6.064]], "species": ["Tb", "Tb", "Tb", "Tb", "Pm", "Pm", "Pm", "Pm", "Sm", "Sm", "Sm"], "fractional_positions": [[0.000, 0.000, 0.000], [0.199, 0.490, 0.490], [0.500, 0.939, 0.939], [0.801, 0.490, 0.490], [0.000, 0.271, 0.271], [0.291, 0.140, 0.140], [0.500, 0.347, 0.347], [0.709, 0.140, 0.140], [0.207, 0.795, 0.795], [0.500, 0.641, 0.641], [0.793, 0.795, 0.795]]}